[1]
This record from the Alexandria database describes an optimized crystal structure of RbLaNb. The functional is GGA-PBE.

```
RbLaNb
1.0
3.2037 0.0000 0.0000
0.0000 4.7434 0.0000
0.0000 0.0000 14.3294
Rb La Nb
2 2 2
Direct
0.0000 0.0000 0.9675
0.0000 0.5000 0.4675
0.0000 0.0000 0.2408
0.0000 0.5000 0.7408
0.5000 0.0000 0.6722
0.5000 0.5000 0.1722
```

Summary:
- DOS(E_F): 1.0987 states/eV/atom
- SG: No. 38
- DFT formation energy: 0.94 eV/atom
- Energy above the lowest structure with this stoichiometry: 0.092 eV/atom

---

[2]
This record from the Alexandria database describes an optimized crystal structure of Na2DyAsS4. The functional is GGA-PBE.

```
Na2DyAsS4
1.0
3.8906 0.0000 0.0000
0.0000 6.7455 0.1134
0.0000 -2.3595 6.6221
Na Dy As S
2 1 1 4
Direct
0.5000 0.0000 0.5000
0.0000 0.5000 0.5000
0.5000 0.5000 0.0000
0.0000 0.0000 0.0000
0.5000 0.2285 0.2179
0.5000 0.7715 0.7821
0.0000 0.2473 0.7767
0.0000 0.7527 0.2233
```

Summary:
- DOS(E_F): 0.0000 states/eV/atom
- SG: No. 10
- Formation energy from raw total energies: -112.9 kJ/mol of atoms

---

[3]
This record from the Alexandria database describes an optimized crystal structure of GeBr2. The functional is GGA-PBE.

```
GeBr2
1.0
-0.7449 5.9950 -5.8458
-0.3961 -4.9383 -5.0138
-13.9625 -2.1080 -0.3828
Ge Br
8 16
Direct
0.8739 0.2642 0.0051
0.3739 0.2358 0.9949
0.1261 0.7358 0.9949
0.6261 0.7642 0.0051
0.6445 0.2498 0.5006
0.1445 0.2502 0.4994
0.3555 0.7502 0.4994
0.8555 0.7498 0.5006
0.8588 0.3709 0.6154
0.3588 0.1291 0.3846
0.1412 0.6291 0.3846
0.6412 0.8709 0.6154
0.6458 0.3893 0.1125
0.1458 0.1107 0.8875
0.3542 0.6107 0.8875
0.8542 0.8893 0.1125
0.5984 0.1414 0.8820
0.0984 0.3586 0.1180
0.4016 0.8586 0.1180
0.9016 0.6414 0.8820
0.8570 0.1246 0.3859
0.3570 0.3754 0.6141
0.1430 0.8754 0.6141
0.6430 0.6246 0.3859
```

Summary:
- DOS(E_F): 0.0000 states/eV/atom
- SG: No. 14
- Formation energy from raw total energies: -53.9 kJ/mol of atoms